Computed, not measured: a geometry-optimized La4Er3S8 structure at the GGA-PBE level of DFT.

a = 11.3754 Å, b = 11.3854 Å, c = 8.0120 Å
α = 90.00°, β = 134.66°, γ = 90.00°
Space group C2/m (No. 12)
Unique sites:
La 0.0000 0.0000 0.0000
La 0.0000 0.5000 0.5000
La 0.2500 0.2500 0.0000
Er 0.0000 0.5000 0.0000
Er 0.2500 0.2500 0.5000
S 0.0000 0.2454 0.5000
S 0.0000 0.2578 0.0000
S 0.2446 0.5000 0.0067
S 0.2473 0.5000 0.4844

Output
Its raw formation energy is -2960 kJ/mol of formula units. The value obtained for the mass density is 5912 kg/m3.